Entry 1:
Here is a relaxed structure of SrNd2ErSe4 from Alexandria. Energies are from PBE.

Properties
The value obtained for the formation energy without anion corrections is -1824.6 meV/atom. As for the magnetic moment: 0.000 μB/atom. The calculation puts the calculated volume at 213 Å³ per cell. The value obtained for the density of states at the Fermi level is 3.3 states/eV/f.u. The calculated total energy comes out at -44.32 eV/f.u.

Cell: 7.297 4.188 7.373 Å, 90.00 108.90 90.00°
Space group P2/m (No. 10)
Inequivalent atoms, fractional coordinates:
Sr: 0.000 0.000 0.000 x1
Nd: 0.000 0.500 0.500 x1
Nd: 0.500 0.000 0.500 x1
Er: 0.500 0.500 0.000 x1
Se: 0.260 0.500 0.247 x2
Se: 0.264 0.000 0.761 x2

Entry 2:
Here is a relaxed structure of Mn2VBiPt from Alexandria. Energies are from PBE.

Properties
As for the magnetic moment: 0.072 μB/atom. The calculation puts the calculated volume at 110 Å³ per cell. The value obtained for the density of states at the Fermi level is 12.7 states/eV/f.u. The calculated total energy comes out at -28.53 eV/f.u. The formation energy is 1.77 eV/atom.

Cell: 4.517 4.517 5.381 Å, 90.00 90.00 90.00°
Space group P4/mmm (No. 123)
Inequivalent atoms, fractional coordinates:
Mn: 0.000 0.500 0.000 x2
V: 0.000 0.000 0.500 x1
Bi: 0.500 0.500 0.500 x1
Pt: 0.500 0.500 0.000 x1

Entry 3:
Here is a relaxed structure of Ho2TiGe2 from Alexandria. Energies are from PBE.

Properties
As for the magnetic moment: 0.001 μB/atom. The calculation puts the calculated volume at 126 Å³ per cell. The value obtained for the density of states at the Fermi level is 7.7 states/eV/f.u. The calculated total energy comes out at -23.45 eV/f.u. As for the excess energy over the best structure of this formula in the dataset: 1143.3 meV/atom. The formation energy is 0.57 eV/atom.

Cell: 2.971 2.971 14.238 Å, 90.00 90.00 90.00°
Space group P4/mmm (No. 123)
Inequivalent atoms, fractional coordinates:
Ho: 0.000 0.000 0.119 x2
Ti: 0.000 0.000 0.500 x1
Ge: 0.000 0.000 0.319 x2

Entry 4:
Here is a relaxed structure of Ti2InNi from Alexandria. Energies are from PBE.

Properties
As for the magnetic moment: 0.137 μB/atom. The calculation puts the calculated volume at 228 Å³ per cell. The value obtained for the density of states at the Fermi level is 5.0 states/eV/f.u. The calculated total energy comes out at -24.11 eV/f.u. As for the excess energy over the best structure of this formula in the dataset: 281.8 meV/atom. The formation energy is 0.05 eV/atom.

Cell: 3.6910 3.6910 19.3323 Å, 90.00 90.00 120.00°
Space group R3m (No. 160, hexagonal axes)
Inequivalent atoms, fractional coordinates:
Ti: 0.0000 0.0000 0.0000 x3
Ti: 0.0000 0.0000 0.2174 x3
In: 0.0000 0.0000 0.7751 x3
Ni: 0.0000 0.0000 0.6157 x3

Entry 5:
Here is a relaxed structure of Mg3HgPd from Alexandria. Energies are from PBE.

Properties
As for the magnetic moment: 0.000 μB/atom. The calculation puts the calculated volume at 398 Å³ per cell. The value obtained for the density of states at the Fermi level is 1.6 states/eV/f.u. The calculated total energy comes out at -12.25 eV/f.u. As for the excess energy over the best structure of this formula in the dataset: 0.0 meV/atom. The formation energy is -0.39 eV/atom.

Cell: 8.122 7.511 7.311 Å, 90.00 116.74 90.00°
Space group P2_1/c (No. 14)
Inequivalent atoms, fractional coordinates:
Mg: 0.032 0.020 0.310 x4
Mg: 0.274 0.103 0.090 x4
Mg: 0.382 0.716 0.943 x4
Hg: 0.348 0.047 0.721 x4
Pd: 0.092 0.704 0.547 x4

Entry 6:
Here is a relaxed structure of UCuSi2Rh from Alexandria. Energies are from PBE.

Properties
The value obtained for the formation energy without anion corrections is -536.2 meV/atom. As for the magnetic moment: 0.382 μB/atom. The calculation puts the calculated volume at 160 Å³ per cell. The value obtained for the density of states at the Fermi level is 6.8 states/eV/f.u. The calculated total energy comes out at -36.26 eV/f.u.

Cell: 3.976 3.976 10.147 Å, 90.00 90.00 90.00°
Space group I-4m2 (No. 119)
Inequivalent atoms, fractional coordinates:
U: 0.000 0.000 0.000 x2
Cu: 0.000 0.500 0.750 x2
Si: 0.000 0.000 0.385 x4
Rh: 0.000 0.500 0.250 x2

Entry 7:
Here is a relaxed structure of La2AgRh from Alexandria. Energies are from PBE.

Properties
As for the magnetic moment: 0.000 μB/atom. The calculation puts the calculated volume at 347 Å³ per cell. The value obtained for the density of states at the Fermi level is 2.0 states/eV/f.u. The calculated total energy comes out at -22.04 eV/f.u. The formation energy is -0.49 eV/atom.

Cell: 4.1978 4.1978 22.7567 Å, 90.00 90.00 120.00°
Space group R3m (No. 160, hexagonal axes)
Inequivalent atoms, fractional coordinates:
La: 0.0000 0.0000 0.0000 x3
La: 0.0000 0.0000 0.1940 x3
Ag: 0.0000 0.0000 0.4313 x3
Rh: 0.0000 0.0000 0.5966 x3

Entry 8:
Here is a relaxed structure of Y2ScTlS from Alexandria. Energies are from PBE.

Properties
The value obtained for the formation energy without anion corrections is -852.3 meV/atom. As for the magnetic moment: 0.000 μB/atom. The calculation puts the calculated volume at 130 Å³ per cell. The value obtained for the density of states at the Fermi level is 3.6 states/eV/f.u. The calculated total energy comes out at -30.01 eV/f.u. As for the excess energy over the best structure of this formula in the dataset: 0.0 meV/atom.

Cell: 5.181 5.181 4.842 Å, 90.00 90.00 90.00°
Space group P4/mmm (No. 123)
Inequivalent atoms, fractional coordinates:
Y: 0.000 0.500 0.000 x2
Sc: 0.000 0.000 0.500 x1
Tl: 0.500 0.500 0.500 x1
S: 0.000 0.000 0.000 x1

Entry 9:
Here is a relaxed structure of MgH2Pd from Alexandria. Energies are from PBE.

Properties
As for the magnetic moment: 0.000 μB/atom. The calculation puts the calculated volume at 127 Å³ per cell. The value obtained for the density of states at the Fermi level is 0.6 states/eV/f.u. The calculated total energy comes out at -14.53 eV/f.u.

Cell: 3.2658 3.2658 13.7312 Å, 90.00 90.00 120.00°
Space group R-3m (No. 166, hexagonal axes)
Inequivalent atoms, fractional coordinates:
Mg: 0.0000 0.0000 0.0000 x3
H: 0.0000 0.0000 0.3797 x6
Pd: 0.0000 0.0000 0.5000 x3

Entry 10:
Here is a relaxed structure of Ca2BPb from Alexandria. Energies are from PBE.

Properties
As for the magnetic moment: 0.000 μB/atom. The calculation puts the calculated volume at 429 Å³ per cell. The value obtained for the density of states at the Fermi level is 3.3 states/eV/f.u. The calculated total energy comes out at -12.73 eV/f.u. As for the excess energy over the best structure of this formula in the dataset: 114.9 meV/atom. The formation energy is 0.42 eV/atom.

Cell: 8.025 8.025 6.658 Å, 90.00 90.00 90.00°
Space group I-42d (No. 122)
Inequivalent atoms, fractional coordinates:
Ca: 0.184 0.250 0.125 x8
B: 0.000 0.000 0.000 x4
Pb: 0.000 0.000 0.500 x4

Entry 11:
Here is a relaxed structure of TmPuCoNi from Alexandria. Energies are from PBE.

Properties
As for the magnetic moment: 1.218 μB/atom. The calculation puts the calculated volume at 293 Å³ per cell. The value obtained for the density of states at the Fermi level is 12.2 states/eV/f.u. The calculated total energy comes out at -32.17 eV/f.u. The formation energy is -0.12 eV/atom.

Cell: 6.643 6.643 6.643 Å, 90.00 90.00 90.00°
Space group F-43m (No. 216)
Inequivalent atoms, fractional coordinates:
Tm: 0.000 0.000 0.000 x4
Pu: 0.000 0.000 0.500 x4
Co: 0.250 0.250 0.250 x4
Ni: 0.250 0.250 0.750 x4

Entry 12:
Here is a relaxed structure of LiAsPdBr2 from Alexandria. Energies are from PBE.

Properties
The value obtained for the formation energy without anion corrections is -170.3 meV/atom. As for the magnetic moment: 0.097 μB/atom. The calculation puts the calculated volume at 141 Å³ per cell. The value obtained for the density of states at the Fermi level is 2.7 states/eV/f.u. The calculated total energy comes out at -15.95 eV/f.u. As for the excess energy over the best structure of this formula in the dataset: 0.0 meV/atom.

Cell: 5.473 5.473 4.692 Å, 90.00 90.00 90.00°
Space group P4/mmm (No. 123)
Inequivalent atoms, fractional coordinates:
Li: 0.000 0.000 0.000 x1
As: 0.500 0.500 0.000 x1
Pd: 0.500 0.500 0.500 x1
Br: 0.000 0.500 0.500 x2

Entry 13:
Here is a relaxed structure of Zr2Al2Cu from Alexandria. Energies are from PBE.

Properties
As for the magnetic moment: 0.000 μB/atom. The calculation puts the calculated volume at 363 Å³ per cell. The value obtained for the density of states at the Fermi level is 4.8 states/eV/f.u. The calculated total energy comes out at -30.64 eV/f.u. As for the excess energy over the best structure of this formula in the dataset: 23.5 meV/atom. The formation energy is -0.39 eV/atom.

Cell: 9.519 5.569 7.048 Å, 90.00 103.97 90.00°
Space group C2/c (No. 15)
Inequivalent atoms, fractional coordinates:
Zr: 0.142 0.111 0.142 x8
Al: 0.129 0.383 0.493 x8
Cu: 0.000 0.311 0.750 x4